1.
First-principles (PBE) data for crystalline Pr2InTe4 at its relaxed geometry, as listed in the Alexandria database.

Calculated values
- DOS at the Fermi energy (states/eV per atom) = 0.421
- energy relative to the elements, uncorrected (meV/atom) = -1034
- ΔE to the lowest computed polymorph (meV/atom) = 18

CIF file:
```
data_Pr2InTe4
_space_group_name_H-M_alt 'C 1 2/m 1'
_space_group_IT_number 12
_cell_length_a 16.433
_cell_length_b 4.508
_cell_length_c 8.031
_cell_angle_alpha 90.00
_cell_angle_beta 117.51
_cell_angle_gamma 90.00
loop_
_space_group_symop_operation_xyz
'x,y,z'
'-x,-y,-z'
'-x,y,-z'
'x,-y,z'
'x+1/2,y+1/2,z'
'-x+1/2,-y+1/2,-z'
'-x+1/2,y+1/2,-z'
'x+1/2,-y+1/2,z'
loop_
_atom_site_label
_atom_site_type_symbol
_atom_site_fract_x
_atom_site_fract_y
_atom_site_fract_z
Pr1 Pr 0.237 0.000 0.223
In1 In 0.000 0.500 0.500
Te1 Te 0.118 0.500 0.941
Te2 Te 0.133 0.000 0.479
```

=====

2.
First-principles (PBE) data for crystalline Ba4P2Os at its relaxed geometry, as listed in the Alexandria database.

Calculated values
- DOS at the Fermi energy (states/eV per atom) = 0.899
- E (eV per formula unit) = -29.92

CIF file:
```
data_Ba4P2Os
_space_group_name_H-M_alt 'I 4/m m m'
_space_group_IT_number 139
_space_group_name_Hall '-I 4 2'
_cell_length_a 5.641
_cell_length_b 5.641
_cell_length_c 16.425
_cell_angle_alpha 90.00
_cell_angle_beta 90.00
_cell_angle_gamma 90.00
loop_
_atom_site_label
_atom_site_type_symbol
_atom_site_fract_x
_atom_site_fract_y
_atom_site_fract_z
Ba1 Ba 0.000 0.000 0.184
Ba2 Ba 0.000 0.500 0.000
P1 P 0.000 0.000 0.368
Os1 Os 0.000 0.000 0.000
```

=====

3.
First-principles (PBE) data for crystalline Mn6Sb at its relaxed geometry, as listed in the Alexandria database.

Calculated values
- DOS at the Fermi energy (states/eV per atom) = 1.355
- energy relative to the elements, uncorrected (meV/atom) = 1100

CIF file:
```
data_Mn6Sb
_space_group_name_H-M_alt 'I m -3 m'
_space_group_IT_number 229
_space_group_name_Hall '-I 4 2 3'
_cell_length_a 6.054
_cell_length_b 6.054
_cell_length_c 6.054
_cell_angle_alpha 90.00
_cell_angle_beta 90.00
_cell_angle_gamma 90.00
loop_
_atom_site_label
_atom_site_type_symbol
_atom_site_fract_x
_atom_site_fract_y
_atom_site_fract_z
Mn1 Mn 0.000 0.250 0.500
Sb1 Sb 0.000 0.000 0.000
```

=====

4.
First-principles (PBE) data for crystalline Pt2C3 at its relaxed geometry, as listed in the Alexandria database.

Calculated values
- DOS at the Fermi energy (states/eV per atom) = 0.230
- ΔE to the lowest computed polymorph (meV/atom) = 802

CIF file:
```
data_Pt2C3
_space_group_name_H-M_alt 'P -3 m 1'
_space_group_IT_number 164
_space_group_name_Hall '-P 3 2"'
_cell_length_a 3.3449
_cell_length_b 3.3449
_cell_length_c 5.6414
_cell_angle_alpha 90.00
_cell_angle_beta 90.00
_cell_angle_gamma 120.00
loop_
_atom_site_label
_atom_site_type_symbol
_atom_site_fract_x
_atom_site_fract_y
_atom_site_fract_z
Pt1 Pt 0.3333 0.6667 0.2683
C1 C 0.0000 0.0000 0.5000
C2 C 0.3333 0.6667 0.8727
```

=====

5.
First-principles (PBE) data for crystalline Pm4Pr5Sm2 at its relaxed geometry, as listed in the Alexandria database.

Calculated values
- DOS at the Fermi energy (states/eV per atom) = 1.506
- ΔE to the lowest computed polymorph (meV/atom) = 71

CIF file:
```
data_Pm4Pr5Sm2
_space_group_name_H-M_alt 'I m m m'
_space_group_IT_number 71
_space_group_name_Hall '-I 2 2'
_cell_length_a 3.577
_cell_length_b 9.467
_cell_length_c 23.660
_cell_angle_alpha 90.00
_cell_angle_beta 90.00
_cell_angle_gamma 90.00
loop_
_atom_site_label
_atom_site_type_symbol
_atom_site_fract_x
_atom_site_fract_y
_atom_site_fract_z
Pm1 Pm 0.000 0.000 0.096
Pm2 Pm 0.000 0.303 0.500
Pr1 Pr 0.000 0.201 0.352
Pr2 Pr 0.000 0.500 0.000
Sm1 Sm 0.000 0.000 0.230
```

=====

6.
First-principles (PBE) data for crystalline PrHo3In3 at its relaxed geometry, as listed in the Alexandria database.

Calculated values
- DOS at the Fermi energy (states/eV per atom) = 0.869
- ΔE to the lowest computed polymorph (meV/atom) = 0

CIF file:
```
data_PrHo3In3
_space_group_name_H-M_alt 'P 63/m'
_space_group_IT_number 176
_space_group_name_Hall '-P 6c'
_cell_length_a 9.4406
_cell_length_b 9.4406
_cell_length_c 5.1746
_cell_angle_alpha 90.00
_cell_angle_beta 90.00
_cell_angle_gamma 120.00
loop_
_atom_site_label
_atom_site_type_symbol
_atom_site_fract_x
_atom_site_fract_y
_atom_site_fract_z
Pr1 Pr 0.3333 0.6667 0.2500
Ho1 Ho 0.9996 0.2309 0.2500
In1 In 0.0689 0.4510 0.7500
```

=====

7.
First-principles (PBE) data for crystalline ZrTlTeCl2 at its relaxed geometry, as listed in the Alexandria database.

Calculated values
- DOS at the Fermi energy (states/eV per atom) = 0.793
- energy relative to the elements, uncorrected (meV/atom) = 155
- ΔE to the lowest computed polymorph (meV/atom) = 1184

CIF file:
```
data_ZrTlTeCl2
_space_group_name_H-M_alt 'P 4/m m m'
_space_group_IT_number 123
_space_group_name_Hall '-P 4 2'
_cell_length_a 5.826
_cell_length_b 5.826
_cell_length_c 5.459
_cell_angle_alpha 90.00
_cell_angle_beta 90.00
_cell_angle_gamma 90.00
loop_
_atom_site_label
_atom_site_type_symbol
_atom_site_fract_x
_atom_site_fract_y
_atom_site_fract_z
Zr1 Zr 0.000 0.000 0.000
Tl1 Tl 0.500 0.500 0.000
Te1 Te 0.000 0.000 0.500
Cl1 Cl 0.000 0.500 0.500
```

=====

8.
First-principles (PBE) data for crystalline DyLuTlIn at its relaxed geometry, as listed in the Alexandria database.

Calculated values
- DOS at the Fermi energy (states/eV per atom) = 0.465
- E (eV per formula unit) = -15.68

CIF file:
```
data_DyLuTlIn
_space_group_name_H-M_alt 'F -4 3 m'
_space_group_IT_number 216
_space_group_name_Hall 'F -4 2 3'
_cell_length_a 7.494
_cell_length_b 7.494
_cell_length_c 7.494
_cell_angle_alpha 90.00
_cell_angle_beta 90.00
_cell_angle_gamma 90.00
loop_
_atom_site_label
_atom_site_type_symbol
_atom_site_fract_x
_atom_site_fract_y
_atom_site_fract_z
Dy1 Dy 0.000 0.000 0.000
Lu1 Lu 0.000 0.000 0.500
Tl1 Tl 0.250 0.250 0.750
In1 In 0.250 0.250 0.250
```

=====

9.
First-principles (PBE) data for crystalline NaCuTe2O8 at its relaxed geometry, as listed in the Alexandria database.

Calculated values
- energy relative to the elements, uncorrected (meV/atom) = -634

CIF file:
```
data_NaCuTe2O8
_space_group_name_H-M_alt 'P -3'
_space_group_IT_number 147
_cell_length_a 5.5788
_cell_length_b 5.5788
_cell_length_c 6.3571
_cell_angle_alpha 90.00
_cell_angle_beta 90.00
_cell_angle_gamma 120.00
loop_
_space_group_symop_operation_xyz
'x,y,z'
'-x,-y,-z'
'-y,x-y,z'
'y,-x+y,-z'
'-x+y,-x,z'
'x-y,x,-z'
loop_
_atom_site_label
_atom_site_type_symbol
_atom_site_fract_x
_atom_site_fract_y
_atom_site_fract_z
Na1 Na 0.0000 0.0000 0.0000
Cu1 Cu 0.0000 0.0000 0.5000
Te1 Te 0.3333 0.6667 0.4331
O1 O 0.0699 0.3660 0.6303
O2 O 0.3333 0.6667 0.1432
```

=====

10.
First-principles (PBE) data for crystalline HfTa2NbH8 at its relaxed geometry, as listed in the Alexandria database.

Calculated values
- DOS at the Fermi energy (states/eV per atom) = 0.345
- E (eV per formula unit) = -73.55

CIF file:
```
data_HfTa2NbH8
_space_group_name_H-M_alt 'I -4 m 2'
_space_group_IT_number 119
_space_group_name_Hall 'I -4 -2'
_cell_length_a 4.587
_cell_length_b 4.587
_cell_length_c 9.108
_cell_angle_alpha 90.00
_cell_angle_beta 90.00
_cell_angle_gamma 90.00
loop_
_atom_site_label
_atom_site_type_symbol
_atom_site_fract_x
_atom_site_fract_y
_atom_site_fract_z
Hf1 Hf 0.000 0.000 0.000
Ta1 Ta 0.000 0.000 0.500
Ta2 Ta 0.000 0.500 0.750
Nb1 Nb 0.000 0.500 0.250
H1 H 0.243 0.247 0.627
```

=====

11.
First-principles (PBE) data for crystalline NaLa2BiIr at its relaxed geometry, as listed in the Alexandria database.

Calculated values
- DOS at the Fermi energy (states/eV per atom) = 0.360
- E (eV per formula unit) = -26.33

CIF file:
```
data_NaLa2BiIr
_space_group_name_H-M_alt 'P 4/m m m'
_space_group_IT_number 123
_space_group_name_Hall '-P 4 2'
_cell_length_a 5.497
_cell_length_b 5.497
_cell_length_c 5.334
_cell_angle_alpha 90.00
_cell_angle_beta 90.00
_cell_angle_gamma 90.00
loop_
_atom_site_label
_atom_site_type_symbol
_atom_site_fract_x
_atom_site_fract_y
_atom_site_fract_z
Na1 Na 0.000 0.000 0.000
La1 La 0.000 0.500 0.500
Bi1 Bi 0.500 0.500 0.000
Ir1 Ir 0.000 0.000 0.500
```

=====

Please write out number 11 again, unchanged.
First-principles (PBE) data for crystalline NaLa2BiIr at its relaxed geometry, as listed in the Alexandria database.

Calculated values
- DOS at the Fermi energy (states/eV per atom) = 0.360
- E (eV per formula unit) = -26.33

CIF file:
```
data_NaLa2BiIr
_space_group_name_H-M_alt 'P 4/m m m'
_space_group_IT_number 123
_space_group_name_Hall '-P 4 2'
_cell_length_a 5.497
_cell_length_b 5.497
_cell_length_c 5.334
_cell_angle_alpha 90.00
_cell_angle_beta 90.00
_cell_angle_gamma 90.00
loop_
_atom_site_label
_atom_site_type_symbol
_atom_site_fract_x
_atom_site_fract_y
_atom_site_fract_z
Na1 Na 0.000 0.000 0.000
La1 La 0.000 0.500 0.500
Bi1 Bi 0.500 0.500 0.000
Ir1 Ir 0.000 0.000 0.500
```